(1)
A geometry-optimized LaVHg2Bi structure, computed with PBE.

Computed properties:
formation enthalpy at 0 K = 944 meV/atom

The structure in extended XYZ format:
```
5
Lattice="-2.727 3.143 4.233 -3.645 -4.833 1.240 3.942 -1.949 3.987" Properties=species:S:1:pos:R:3 pbc="T T T"
Bi -1.822 -2.416 0.620
V -1.215 -1.819 4.730
Hg -1.364 1.572 2.116
Hg 1.971 -0.975 1.994
La 0.000 0.000 0.000
```


(2)
A geometry-optimized LaHgBiW2 structure, computed with PBE.

Computed properties:
formation enthalpy at 0 K = 1808 meV/atom

The structure in extended XYZ format:
```
5
Lattice="5.167 0.000 0.000 0.000 5.527 0.000 0.000 0.000 5.167" Properties=species:S:1:pos:R:3 pbc="T T T"
W 0.000 0.000 2.583
W 2.583 0.000 0.000
Bi 0.000 0.000 0.000
Hg 0.000 2.763 0.000
La 2.583 2.763 2.583
```


(3)
A geometry-optimized LaHgBiW2 structure, computed with PBE.

Computed properties:
formation enthalpy at 0 K = 1794 meV/atom

The structure in extended XYZ format:
```
5
Lattice="-3.877 3.325 -0.719 -3.350 -3.189 3.321 1.537 2.685 4.128" Properties=species:S:1:pos:R:3 pbc="T T T"
La -1.675 -1.594 1.661
Bi -2.846 1.410 3.365
W 0.768 1.342 2.064
W -1.939 1.662 -0.360
Hg 0.000 0.000 0.000
```


(4)
A geometry-optimized LaYHgBi structure, computed with PBE.

Computed properties:
formation enthalpy at 0 K = -583 meV/atom

The structure in extended XYZ format:
```
4
Lattice="5.499 0.000 0.000 2.750 4.762 0.000 2.750 1.587 4.490" Properties=species:S:1:pos:R:3 pbc="T T T"
Y 8.249 4.762 3.367
Hg 5.499 3.175 2.245
Bi 0.000 0.000 0.000
La 2.750 1.587 1.122
```


(5)
A geometry-optimized Li3HgBi3 structure, computed with PBE.

Computed properties:
formation enthalpy at 0 K = -263 meV/atom

The structure in extended XYZ format:
```
28
Lattice="8.922 0.000 0.000 0.000 8.922 0.000 0.000 0.000 8.922" Properties=species:S:1:pos:R:3 pbc="T T T"
Bi 7.701 5.682 3.240
Bi 6.065 6.065 6.065
Bi 7.920 7.920 7.920
Bi 2.857 1.604 7.318
Bi 1.002 3.459 5.463
Bi 1.221 1.221 1.221
Bi 5.463 1.002 3.459
Bi 5.682 3.240 7.701
Bi 7.318 2.857 1.604
Bi 3.459 5.463 1.002
Bi 1.604 7.318 2.857
Bi 3.240 7.701 5.682
Hg 0.382 4.843 8.541
Hg 4.843 8.541 0.382
Hg 4.079 4.079 4.079
Hg 8.541 0.382 4.843
Li 0.461 6.411 5.803
Li 3.119 4.923 6.973
Li 8.461 1.949 7.580
Li 2.512 1.342 4.000
Li 6.973 3.119 4.923
Li 4.923 6.973 3.119
Li 7.580 8.461 1.949
Li 4.000 2.512 1.342
Li 6.411 5.803 0.461
Li 5.803 0.461 6.411
Li 1.949 7.580 8.461
Li 1.342 4.000 2.512
```


(6)
A geometry-optimized Li3HgBi2 structure, computed with PBE.

Computed properties:
formation enthalpy at 0 K = -368 meV/atom

The structure in extended XYZ format:
```
6
Lattice="3.391 0.000 0.000 0.000 4.881 -1.616 0.000 -0.045 8.043" Properties=species:S:1:pos:R:3 pbc="T T T"
Bi 0.000 3.227 1.568
Bi 0.000 1.608 4.858
Li 1.696 4.063 4.092
Li 1.696 0.773 2.335
Li 1.696 2.440 -0.808
Hg 0.000 0.000 0.000
```


(7)
A geometry-optimized Li2Hg2Bi structure, computed with PBE.

Computed properties:
formation enthalpy at 0 K = -267 meV/atom

The structure in extended XYZ format:
```
10
Lattice="-7.750 -1.130 -0.841 1.408 -6.263 -4.565 -0.006 -2.090 2.864" Properties=species:S:1:pos:R:3 pbc="T T T"
Hg -2.565 -2.346 0.478
Hg -0.208 -5.236 -1.626
Hg -3.783 -7.136 -3.020
Hg -6.140 -4.246 -0.916
Li -1.534 -5.740 -4.191
Li -4.807 -1.652 -1.216
Li -0.642 -2.377 -1.735
Li -5.699 -5.016 -3.672
Bi -3.171 -3.696 -2.703
Bi 0.000 0.000 0.000
```


(8)
A geometry-optimized Li2Hg2Bi structure, computed with PBE.

Computed properties:
formation enthalpy at 0 K = -292 meV/atom

The structure in extended XYZ format:
```
10
Lattice="8.144 0.000 0.000 0.000 8.144 0.000 0.000 0.000 3.365" Properties=species:S:1:pos:R:3 pbc="T T T"
Hg 1.052 3.020 0.000
Hg 3.020 7.092 0.000
Hg 5.124 1.052 0.000
Hg 7.092 5.124 0.000
Li 1.353 5.425 1.683
Li 6.790 2.718 1.683
Li 2.718 1.353 1.683
Li 5.425 6.790 1.683
Bi 0.000 0.000 0.000
Bi 4.072 4.072 0.000
```


(9)
A geometry-optimized Li5HgBi6 structure, computed with PBE.

Computed properties:
formation enthalpy at 0 K = -281 meV/atom

The structure in extended XYZ format:
```
12
Lattice="4.599 -0.001 -1.287 -3.282 7.527 -2.912 -0.030 -0.087 8.712" Properties=species:S:1:pos:R:3 pbc="T T T"
Li 0.644 3.720 2.256
Li -0.516 6.436 -1.891
Li 2.345 5.119 -0.524
Li -1.058 2.321 5.037
Li 1.804 1.004 6.403
Bi 0.390 6.749 1.348
Bi -1.376 5.331 3.877
Bi 2.664 2.108 0.636
Bi -0.203 3.266 -0.767
Bi 0.897 0.691 3.164
Bi 1.490 4.174 5.280
Hg 0.000 0.000 0.000
```


(10)
A geometry-optimized Li4Hg6Bi structure, computed with PBE.

Computed properties:
formation enthalpy at 0 K = -252 meV/atom

The structure in extended XYZ format:
```
11
Lattice="-0.273 1.959 5.428 8.402 0.120 -1.356 1.160 5.611 0.739" Properties=species:S:1:pos:R:3 pbc="T T T"
Hg 5.493 2.072 0.384
Hg 5.957 6.030 3.609
Hg 8.407 2.191 1.344
Hg 3.011 2.682 4.068
Hg 8.698 4.668 3.363
Hg 4.140 4.414 1.779
Li 2.478 1.843 1.271
Li 6.825 4.776 0.949
Li 6.132 2.999 3.229
Li 2.923 5.635 4.360
Bi 1.225 5.045 1.424
```


(11)
A geometry-optimized Li4HgBi structure, computed with PBE.

Computed properties:
formation enthalpy at 0 K = -400 meV/atom

The structure in extended XYZ format:
```
6
Lattice="-1.828 4.067 2.496 -3.698 -2.797 1.849 0.835 -2.422 4.559" Properties=species:S:1:pos:R:3 pbc="T T T"
Li -1.952 -2.164 2.109
Li -0.205 -2.898 4.585
Li -4.014 -1.165 4.204
Li -1.281 -0.083 4.441
Hg -3.043 -3.914 4.163
Bi -2.232 -1.840 6.610
```


(12)
A geometry-optimized Li3Hg3Bi structure, computed with PBE.

Computed properties:
formation enthalpy at 0 K = 29 meV/atom

The structure in extended XYZ format:
```
14
Lattice="7.192 0.000 0.000 0.000 7.192 0.000 0.000 0.000 7.192" Properties=species:S:1:pos:R:3 pbc="T T T"
Bi 3.596 3.596 3.596
Bi 0.000 0.000 0.000
Hg 3.596 5.394 0.000
Hg 1.798 0.000 3.596
Hg 0.000 3.596 1.798
Hg 0.000 3.596 5.394
Hg 3.596 1.798 0.000
Hg 5.394 0.000 3.596
Li 0.000 1.798 3.596
Li 5.394 3.596 0.000
Li 3.596 0.000 1.798
Li 1.798 3.596 0.000
Li 0.000 5.394 3.596
Li 3.596 0.000 5.394
```


(13)
A geometry-optimized Li8HgBi5 structure, computed with PBE.

Computed properties:
formation enthalpy at 0 K = -339 meV/atom

The structure in extended XYZ format:
```
14
Lattice="-4.690 -1.552 5.328 5.413 -5.493 -0.973 2.357 6.303 2.744" Properties=species:S:1:pos:R:3 pbc="T T T"
Bi 1.414 4.832 3.914
Bi 0.844 -0.244 5.562
Bi -1.160 2.361 4.011
Bi 2.477 -0.989 0.702
Bi 1.432 -5.098 3.993
Li 0.918 0.815 2.462
Li 1.103 2.685 6.104
Li -1.719 2.047 6.850
Li 3.414 -4.105 0.308
Li 5.352 -1.667 0.692
Li 3.675 -0.500 4.138
Li -1.530 -0.588 3.837
Li 1.332 -2.114 3.224
Hg 3.061 2.082 3.735
```